No. 1
# La3Y6Sc2

A relaxed La3Y6Sc2 crystal (PBE, the Alexandria database).

It has space group C2/m (No. 12), with a = 5.7498 Å, b = 12.0099 Å, c = 10.2884 Å, α = 90.00°, β = 90.05° and γ = 90.00°. The inequivalent atoms are La at (0.0000, 0.0000, 0.0000), La at (0.0000, 0.2892, 0.0000), Y at (0.9995, 0.1507, 0.3193), Y at (0.0006, 0.5000, 0.7844) and Sc at (0.0000, 0.3743, 0.5000).

The calculation puts the magnetization at 0.0 μB per cell. For the density, the calculation gives 4.862 g cm⁻³. The value obtained for the energy of formation from the pure elements is 1.5 eV/f.u.

No. 2
# ScAs2Se

A relaxed ScAs2Se crystal (PBE, the Alexandria database).

It has space group P2/m (No. 10), with a = 3.9386 Å, b = 3.7110 Å, c = 5.7689 Å, α = 90.00°, β = 102.37° and γ = 90.00°. The inequivalent atoms are Sc at (0.0000, 0.0000, 0.0000), As at (0.4366, 0.5000, 0.7808) and Se at (0.0000, 0.0000, 0.5000).

The calculation puts the magnetization at 0.0 μB per cell. For the density, the calculation gives 5.519 g cm⁻³. The formation energy without anion corrections is -1.9 eV/f.u.

No. 3
# BaIn2Ru

A relaxed BaIn2Ru crystal (PBE, the Alexandria database).

It has space group I-42d (No. 122), with a = 5.7899 Å, b = 5.7899 Å, c = 17.1730 Å, α = 90.00°, β = 90.00° and γ = 90.00°. The inequivalent atoms are Ba at (0.0000, 0.0000, 0.0000), In at (0.0009, 0.7500, 0.6250) and Ru at (0.0000, 0.0000, 0.5000).

The calculation puts the magnetization at 0.0 μB per cell. For the density, the calculation gives 5.400 g cm⁻³. The value obtained for the energy of formation from the pure elements is 0.7 eV/f.u.

No. 4
# SiNi2Se

A relaxed SiNi2Se crystal (PBE, the Alexandria database).

It has space group F-43m (No. 216), with a = 6.0118 Å, b = 6.0118 Å, c = 6.0118 Å, α = 90.00°, β = 90.00° and γ = 90.00°. The inequivalent atoms are Si at (0.0000, 0.0000, 0.0000), Ni at (0.0000, 0.0000, 0.5000), Ni at (0.2500, 0.2500, 0.7500) and Se at (0.2500, 0.2500, 0.2500).

The calculation puts the magnetization at 0.0 μB per cell. The calculation puts the relative energy among the computed polymorphs at 0.624 eV/atom. For the density, the calculation gives 6.861 g cm⁻³. The formation energy without anion corrections is 1.3 eV/f.u.